Entry 1:
# La3PaN4

A relaxed La3PaN4 crystal (PBE, the Alexandria database).

Results
E_form (uncorrected) ... -1344 meV per atom
Distance to the lowest polymorph of the same formula ... 96 meV per atom
VASP energy ... -8.54 eV per atom

Unit cell a=8.626 b=7.065 c=5.378 alpha=90.00 beta=90.00 gamma=90.00
Space group Pmn2_1 (No. 31)
Unique sites:
La 0.000 0.168 0.000 x2
La 0.245 0.330 0.500 x4
Pa 0.000 0.814 0.487 x2
N 0.000 0.130 0.499 x2
N 0.000 0.826 0.058 x2
N 0.234 0.689 0.492 x4



Entry 2:
# LaPa4N8

A relaxed LaPa4N8 crystal (PBE, the Alexandria database).

Results
E_form (uncorrected) ... -1520 meV per atom
Distance to the lowest polymorph of the same formula ... 0 meV per atom
VASP energy ... -9.94 eV per atom

Unit cell a=12.963 b=3.730 c=9.535 alpha=90.00 beta=118.62 gamma=90.00
Space group C2/m (No. 12)
Unique sites:
La 0.000 0.000 0.000 x2
Pa 0.115 0.500 0.433 x4
Pa 0.166 0.000 0.801 x4
N 0.030 0.000 0.272 x4
N 0.091 0.500 0.654 x4
N 0.154 0.500 0.002 x4
N 0.219 0.000 0.592 x4



Entry 3:
# La5Pa3N8

A relaxed La5Pa3N8 crystal (PBE, the Alexandria database).

Results
E_form (uncorrected) ... -1525 meV per atom
VASP energy ... -9.01 eV per atom

Unit cell a=7.2589 b=7.2589 c=17.9833 alpha=90.00 beta=90.00 gamma=120.00
Space group R-3m (No. 166, hexagonal axes)
Unique sites:
La 0.0000 0.0000 0.0000 x3
La 0.0000 0.0000 0.5000 x3
La 0.0000 0.5000 0.0000 x9
Pa 0.0000 0.5000 0.5000 x9
N 0.0000 0.0000 0.2342 x6
N 0.0264 0.5132 0.7638 x18



Entry 4:
# LaPa5N6

A relaxed LaPa5N6 crystal (PBE, the Alexandria database).

Results
E_form (uncorrected) ... -1587 meV per atom
VASP energy ... -10.12 eV per atom

Unit cell a=6.129 b=10.590 c=6.114 alpha=90.00 beta=109.52 gamma=90.00
Space group C2/m (No. 12)
Unique sites:
La 0.000 0.000 0.000 x2
Pa 0.000 0.164 0.500 x4
Pa 0.000 0.333 0.000 x4
Pa 0.000 0.500 0.500 x2
N 0.235 0.500 0.257 x4
N 0.237 0.325 0.737 x8



Entry 5:
# LaPa2N

A relaxed LaPa2N crystal (PBE, the Alexandria database).

Results
E_form (uncorrected) ... -571 meV per atom
VASP energy ... -8.63 eV per atom

Unit cell a=3.4142 b=3.4142 c=26.6770 alpha=90.00 beta=90.00 gamma=120.00
Space group R-3m (No. 166, hexagonal axes)
Unique sites:
La 0.0000 0.0000 0.0000 x3
Pa 0.0000 0.0000 0.2205 x6
N 0.0000 0.0000 0.5000 x3



Entry 6:
# La2Pa2N7

A relaxed La2Pa2N7 crystal (PBE, the Alexandria database).

Results
E_form (uncorrected) ... -797 meV per atom
VASP energy ... -8.72 eV per atom

Unit cell a=7.525 b=8.160 c=5.749 alpha=90.00 beta=90.00 gamma=90.00
Space group Cmmm (No. 65)
Unique sites:
La 0.245 0.000 0.000 x4
Pa 0.000 0.229 0.500 x4
N 0.000 0.000 0.270 x4
N 0.000 0.500 0.500 x2
N 0.250 0.250 0.264 x8



Entry 7:
# La2PaN4

A relaxed La2PaN4 crystal (PBE, the Alexandria database).

Results
E_form (uncorrected) ... -1197 meV per atom
Distance to the lowest polymorph of the same formula ... 178 meV per atom
VASP energy ... -8.72 eV per atom

Unit cell a=7.624 b=9.860 c=3.701 alpha=90.00 beta=90.00 gamma=90.00
Space group Cmmm (No. 65)
Unique sites:
La 0.250 0.250 0.000 x4
Pa 0.000 0.000 0.500 x2
N 0.000 0.220 0.500 x4
N 0.185 0.000 0.000 x4



Entry 8:
# La2Pa2N5

A relaxed La2Pa2N5 crystal (PBE, the Alexandria database).

Results
E_form (uncorrected) ... -1329 meV per atom
VASP energy ... -9.16 eV per atom

Unit cell a=11.814 b=6.823 c=6.961 alpha=90.00 beta=90.00 gamma=90.00
Space group Cmce (No. 64)
Unique sites:
La 0.000 0.160 0.167 x8
Pa 0.207 0.000 0.500 x8
N 0.000 0.000 0.500 x4
N 0.152 0.175 0.876 x16



Entry 9:
# La2PaN3

A relaxed La2PaN3 crystal (PBE, the Alexandria database).

Results
E_form (uncorrected) ... -1525 meV per atom
Distance to the lowest polymorph of the same formula ... 0 meV per atom
VASP energy ... -8.91 eV per atom

Unit cell a=7.345 b=10.331 c=21.760 alpha=90.00 beta=90.00 gamma=90.00
Space group Fddd (No. 70, origin choice 2)
Unique sites:
La 0.125 0.125 0.043 x16
La 0.125 0.125 0.373 x16
Pa 0.125 0.125 0.541 x16
N 0.083 0.375 0.875 x16
N 0.106 0.356 0.715 x32



Entry 10:
# La2PaN

A relaxed La2PaN crystal (PBE, the Alexandria database).

Results
E_form (uncorrected) ... -350 meV per atom
VASP energy ... -7.27 eV per atom

Unit cell a=3.4309 b=3.4309 c=28.9722 alpha=90.00 beta=90.00 gamma=120.00
Space group R-3m (No. 166, hexagonal axes)
Unique sites:
La 0.0000 0.0000 0.1143 x6
Pa 0.0000 0.0000 0.0000 x3
N 0.0000 0.0000 0.5000 x3